1.
A geometry-optimized ZnRhS structure. Source: the Alexandria database, functional PBE.

a b c (Å): 4.253 4.241 6.577
angles (deg): 71.19 90.00 90.00
Sites, in units of the cell vectors:
S 0.750 0.637 0.725
Rh 0.250 0.571 0.857
Zn 0.250 0.174 0.652
Zn 0.750 0.826 0.348
Rh 0.750 0.429 0.143
S 0.250 0.363 0.275

The crystal system is orthorhombic. Its symmetry is Cmcm (63). The density of states at the Fermi level is 5.33 states/eV/cell.

---

2.
A geometry-optimized SrU3Se6 structure. Source: the Alexandria database, functional PBE.

a b c (Å): 4.171 11.703 12.153
angles (deg): 108.59 90.00 90.00
Site moments in Bohr magnetons follow the coordinates.
Sites, in units of the cell vectors:
U 0.250 0.317 0.505  -2.50
Se 0.250 0.087 0.910  0.06
Se 0.250 0.512 0.387  0.07
U 0.250 0.545 0.166  -2.61
Se 0.750 0.794 0.751  0.07
U 0.750 0.154 0.085  -2.51
U 0.250 0.846 0.915  -2.51
Se 0.750 0.913 0.090  0.06
Se 0.250 0.617 0.959  0.07
Sr 0.250 0.946 0.305  -0.01
Se 0.750 0.133 0.466  0.05
Se 0.750 0.488 0.613  0.07
Se 0.250 0.206 0.249  0.07
U 0.750 0.455 0.834  -2.61
U 0.750 0.683 0.495  -2.50
Se 0.250 0.283 0.736  0.06
Se 0.250 0.867 0.534  0.05
Sr 0.750 0.054 0.695  -0.01
Se 0.750 0.717 0.264  0.06
Se 0.750 0.383 0.041  0.07

The crystal system is monoclinic. Its symmetry is P2_1/m (11). The density of states at the Fermi level is 32.59 states/eV/cell.

---

Number 1: E_form (uncorrected) -131 meV/atom. Number 2: E_form (uncorrected) -1301 meV/atom.